1.
Computed, not measured: Mn2PAu after structural relaxation at the PBE-GGA level of DFT.

Output
Its formation energy from the elements is -62 meV per atom. The total energy comes out at -6.818 eV/atom. As for the mass density: 9.2 g/cm³.

Cell lengths 3.3016, 3.3016, 19.4250 Å; angles 90.00, 90.00, 120.00 degrees
Space group R-3m (No. 166, hexagonal axes)
Symmetry-distinct sites (fractional):
Mn (0.0000, 0.0000, 0.2322) (multiplicity 6)
P (0.0000, 0.0000, 0.5000) (multiplicity 3)
Au (0.0000, 0.0000, 0.0000) (multiplicity 3)

2.
Computed, not measured: Mn2PAu after structural relaxation at the PBE-GGA level of DFT.

Output
Its formation energy from the elements is 31 meV per atom. The total energy comes out at -6.726 eV/atom. As for the mass density: 9.8 g/cm³.

Cell lengths 3.325, 4.614, 7.472 Å; angles 90.00, 90.00, 90.00 degrees
Space group Immm (No. 71)
Symmetry-distinct sites (fractional):
Mn (0.000, 0.000, 0.207) (multiplicity 4)
P (0.000, 0.500, 0.500) (multiplicity 2)
Au (0.000, 0.500, 0.000) (multiplicity 2)

3.
Computed, not measured: MnPAu after structural relaxation at the PBE-GGA level of DFT.

Output
Its formation energy from the elements is 64 meV per atom. The polymorph energy (0 for the lowest one) comes out at 51.5 meV per atom. The total energy comes out at -5.889 eV/atom. As for the mass density: 9.3 g/cm³.

Cell lengths 3.6898, 3.6898, 4.2742 Å; angles 90.00, 90.00, 120.00 degrees
Space group P3m1 (No. 156)
Symmetry-distinct sites (fractional):
Mn (0.0000, 0.0000, 0.0000) (multiplicity 1)
P (0.6667, 0.3333, 0.2569) (multiplicity 1)
Au (0.3333, 0.6667, 0.6066) (multiplicity 1)

4.
Computed, not measured: MnPAu2 after structural relaxation at the PBE-GGA level of DFT.

Output
Its formation energy from the elements is 150 meV per atom. The total energy comes out at -5.133 eV/atom. As for the mass density: 11.8 g/cm³.

Cell lengths 3.537, 3.537, 5.406 Å; angles 90.00, 90.00, 90.00 degrees
Space group P4/mmm (No. 123)
Symmetry-distinct sites (fractional):
Mn (0.000, 0.000, 0.000) (multiplicity 1)
P (0.000, 0.000, 0.500) (multiplicity 1)
Au (0.500, 0.500, 0.248) (multiplicity 2)

5.
Computed, not measured: MnP2Au after structural relaxation at the PBE-GGA level of DFT.

Output
Its formation energy from the elements is 347 meV per atom. The polymorph energy (0 for the lowest one) comes out at 557.2 meV per atom. The total energy comes out at -5.469 eV/atom. As for the mass density: 8.5 g/cm³.

Cell lengths 6.262, 6.262, 6.262 Å; angles 90.00, 90.00, 90.00 degrees
Space group Fm-3m (No. 225)
Symmetry-distinct sites (fractional):
Mn (0.000, 0.000, 0.000) (multiplicity 4)
P (0.250, 0.250, 0.250) (multiplicity 8)
Au (0.000, 0.000, 0.500) (multiplicity 4)

6.
Computed, not measured: Mn2PAu after structural relaxation at the PBE-GGA level of DFT.

Output
Its formation energy from the elements is -81 meV per atom. The total energy comes out at -6.837 eV/atom. As for the mass density: 10.7 g/cm³.

Cell lengths 2.797, 2.797, 6.674 Å; angles 90.00, 90.00, 90.00 degrees
Space group P4/mmm (No. 123)
Symmetry-distinct sites (fractional):
Mn (0.000, 0.000, 0.194) (multiplicity 2)
P (0.500, 0.500, 0.000) (multiplicity 1)
Au (0.500, 0.500, 0.500) (multiplicity 1)

7.
Computed, not measured: MnP2Au after structural relaxation at the PBE-GGA level of DFT.

Output
Its formation energy from the elements is 24 meV per atom. The polymorph energy (0 for the lowest one) comes out at 233.4 meV per atom. The total energy comes out at -5.793 eV/atom. As for the mass density: 8.8 g/cm³.

Cell lengths 2.740, 3.530, 12.315 Å; angles 90.00, 90.00, 90.00 degrees
Space group Imm2 (No. 44)
Symmetry-distinct sites (fractional):
Mn (0.000, 0.000, 0.000) (multiplicity 2)
P (0.000, 0.000, 0.447) (multiplicity 2)
P (0.000, 0.500, 0.646) (multiplicity 2)
Au (0.000, 0.500, 0.285) (multiplicity 2)

8.
Computed, not measured: MnPAu2 after structural relaxation at the PBE-GGA level of DFT.

Output
Its formation energy from the elements is 222 meV per atom. The total energy comes out at -5.062 eV/atom. As for the mass density: 11.8 g/cm³.

Cell lengths 3.140, 3.140, 6.832 Å; angles 90.00, 90.00, 90.00 degrees
Space group P4/mmm (No. 123)
Symmetry-distinct sites (fractional):
Mn (0.000, 0.000, 0.000) (multiplicity 1)
P (0.000, 0.000, 0.500) (multiplicity 1)
Au (0.500, 0.500, 0.247) (multiplicity 2)

9.
Computed, not measured: MnPAu3 after structural relaxation at the PBE-GGA level of DFT.

Output
Its formation energy from the elements is 1099 meV per atom. The polymorph energy (0 for the lowest one) comes out at 635.5 meV per atom. The total energy comes out at -3.783 eV/atom. As for the mass density: 9.7 g/cm³.

Cell lengths 4.871, 4.871, 4.871 Å; angles 90.00, 90.00, 90.00 degrees
Space group Pm-3m (No. 221)
Symmetry-distinct sites (fractional):
Mn (0.000, 0.000, 0.000) (multiplicity 1)
P (0.500, 0.500, 0.500) (multiplicity 1)
Au (0.000, 0.000, 0.500) (multiplicity 3)

10.
Computed, not measured: MnPAu2 after structural relaxation at the PBE-GGA level of DFT.

Output
Its formation energy from the elements is 234 meV per atom. The total energy comes out at -5.050 eV/atom. As for the mass density: 11.8 g/cm³.

Cell lengths 4.088, 4.088, 8.047 Å; angles 90.00, 90.00, 90.00 degrees
Space group I-4m2 (No. 119)
Symmetry-distinct sites (fractional):
Mn (0.000, 0.000, 0.000) (multiplicity 2)
P (0.000, 0.500, 0.750) (multiplicity 2)
Au (0.000, 0.000, 0.500) (multiplicity 2)
Au (0.000, 0.500, 0.250) (multiplicity 2)

11.
Computed, not measured: MnP2Au after structural relaxation at the PBE-GGA level of DFT.

Output
Its formation energy from the elements is 132 meV per atom. The polymorph energy (0 for the lowest one) comes out at 341.8 meV per atom. The total energy comes out at -5.685 eV/atom. As for the mass density: 8.2 g/cm³.

Cell lengths 3.2791, 3.2791, 20.4134 Å; angles 90.00, 90.00, 120.00 degrees
Space group R3m (No. 160, hexagonal axes)
Symmetry-distinct sites (fractional):
Mn (0.0000, 0.0000, 0.0000) (multiplicity 3)
P (0.0000, 0.0000, 0.4805) (multiplicity 3)
P (0.0000, 0.0000, 0.7443) (multiplicity 3)
Au (0.0000, 0.0000, 0.2380) (multiplicity 3)

12.
Computed, not measured: MnPAu after structural relaxation at the PBE-GGA level of DFT.

Output
Its formation energy from the elements is 111 meV per atom. The polymorph energy (0 for the lowest one) comes out at 99.0 meV per atom. The total energy comes out at -5.841 eV/atom. As for the mass density: 10.5 g/cm³.

Cell lengths 2.8635, 2.8635, 6.3092 Å; angles 90.00, 90.00, 120.00 degrees
Space group P3m1 (No. 156)
Symmetry-distinct sites (fractional):
Mn (0.0000, 0.0000, 0.0000) (multiplicity 1)
P (0.6667, 0.3333, 0.2366) (multiplicity 1)
Au (0.3333, 0.6667, 0.6437) (multiplicity 1)